43
Lattice="8.3919 0.0000 0.0000 0.0000 6.0846 0.0000 -1.5664 0.0000 10.8110" Properties=species:S:1:pos:R:3 comment="BaMg2V6Cu8O26, optimized geometry, DFT PBE with a Hubbard U" total_energy_ev_per_atom=-6.43 spacegroup="Pm (6)" n_ef_per_ev_cell=10.7 pbc="T T T"
Ba 0.0000 0.0000 0.0000
Mg 2.6147 3.0423 0.5171
Mg 4.7285 0.0000 8.2146
V -0.5980 0.0000 6.7286
V 2.3979 0.0000 3.0483
V 1.8184 0.0000 9.8949
V 4.0560 3.0423 9.8245
V 4.9637 3.0423 5.8592
V 7.9449 3.0423 2.2165
Cu 0.1345 3.0423 5.6957
Cu 2.5334 3.0423 3.8513
Cu 2.4128 1.5212 6.9480
Cu 2.4128 4.5633 6.9480
Cu 4.9384 1.5201 1.9551
Cu 4.9384 4.5645 1.9551
Cu 4.7832 0.0000 5.0696
Cu 7.2056 0.0000 3.3436
O 0.6155 3.0423 0.8934
O 0.5524 3.0423 3.6785
O 0.6939 0.0000 2.9327
O 0.4858 1.3867 6.8051
O 0.4858 4.6979 6.8051
O 0.8078 1.3581 10.1902
O 0.8078 4.7264 10.1902
O 2.1588 3.0423 5.7886
O 2.9709 1.5353 2.2770
O 2.9709 4.5493 2.2770
O 2.8594 0.0000 4.7141
O 2.6234 0.0000 8.1481
O 2.8140 3.0423 8.6804
O 4.6040 0.0000 0.2571
O 4.7371 3.0423 0.7308
O 4.4433 3.0423 4.2013
O 4.3818 1.4977 6.6316
O 4.3818 4.5868 6.6316
O 5.1955 0.0000 3.1401
O 4.9666 1.5944 9.5822
O 4.9666 4.4902 9.5822
O 6.9065 1.6126 2.0369
O 6.9065 4.4720 2.0369
O 6.6460 3.0423 5.8210
O 6.7673 0.0000 5.2714
O 6.7511 0.0000 8.0722